# Pr6PPt2Se3 PBE relaxed
# - Crystal system: monoclinic
# - ΔE_f (raw): -1.517 eV/atom
# - SG: C2/m
data_Pr6PPt2Se3
_chemical_formula_sum 'Pr6 P1 Pt2 Se3'
_cell_length_a 4.1889
_cell_length_b 8.6845
_cell_length_c 9.6618
_cell_angle_alpha 104.79
_cell_angle_beta 102.52
_cell_angle_gamma 90.00
_symmetry_space_group_name_H-M 'P 1'
_symmetry_Int_Tables_number 1
_symmetry_space_group_name_Hall 'P 1'
loop_
_atom_site_label
_atom_site_type_symbol
_atom_site_fract_x
_atom_site_fract_y
_atom_site_fract_z
_atom_site_occupancy
Se1 Se 0.5000 0.5000 0.0000 1
Se2 Se 0.8362 0.1610 0.6724 1
Se3 Se 0.1638 0.8390 0.3276 1
Pt1 Pt 0.8327 0.6626 0.6654 1
Pt2 Pt 0.1673 0.3374 0.3346 1
Pr1 Pr 0.6690 0.5773 0.3380 1
Pr2 Pr 0.3367 0.9032 0.6735 1
Pr3 Pr 0.3310 0.4227 0.6620 1
Pr4 Pr 0.6633 0.0968 0.3265 1
Pr5 Pr 0.9976 0.7607 0.9952 1
Pr6 Pr 0.0024 0.2393 0.0048 1
P1 P 0.5000 0.0000 0.0000 1

=====

# Pr3Si2PPt9 PBE relaxed
# - Crystal system: trigonal
# - ΔE_f (raw): -0.780 eV/atom
# - SG: P-3m1
data_Pr3Si2PPt9
_chemical_formula_sum 'Pr3 Si2 P1 Pt9'
_cell_length_a 6.5776
_cell_length_b 6.5776
_cell_length_c 8.1248
_cell_angle_alpha 90.00
_cell_angle_beta 90.00
_cell_angle_gamma 120.00
_symmetry_space_group_name_H-M 'P 1'
_symmetry_Int_Tables_number 1
_symmetry_space_group_name_Hall 'P 1'
loop_
_atom_site_label
_atom_site_type_symbol
_atom_site_fract_x
_atom_site_fract_y
_atom_site_fract_z
_atom_site_occupancy
Si1 Si 0.3333 0.6667 0.1932 1
Si2 Si 0.6667 0.3333 0.8068 1
Pr1 Pr 0.6667 0.3333 0.3306 1
Pr2 Pr 0.3333 0.6667 0.6694 1
Pr3 Pr 0.0000 0.0000 0.0000 1
Pt1 Pt 0.1451 0.2901 0.2962 1
Pt2 Pt 0.5000 0.0000 0.0000 1
Pt3 Pt 0.1451 0.8549 0.2962 1
Pt4 Pt 0.5000 0.5000 0.0000 1
Pt5 Pt 0.0000 0.5000 0.0000 1
Pt6 Pt 0.2901 0.1451 0.7038 1
Pt7 Pt 0.7099 0.8549 0.2962 1
Pt8 Pt 0.8549 0.1451 0.7038 1
Pt9 Pt 0.8549 0.7099 0.7038 1
P1 P 0.0000 0.0000 0.5000 1

=====

Number 1: M_tot 0.0 Bohr magnetons per cell. Number 2: M_tot 0.0 Bohr magnetons per cell.